First-principles (GGA-PBE) data for crystalline Sc4V at its relaxed geometry, as listed in Alexandria.

Unit cell a=4.9500 b=4.9500 c=4.9500 alpha=90.00 beta=90.00 gamma=90.00
Closest atoms and distances in Å follow each position.
Fractional coordinates of all 5 atoms:
Sc 0.5000 0.5000 0.0000  2 V 2.47
Sc 0.0000 0.0000 0.0000  12 Sc 3.50
Sc 0.0000 0.5000 0.5000  2 V 2.47
Sc 0.5000 0.0000 0.5000  2 V 2.47
V 0.5000 0.5000 0.5000  6 Sc 2.47

Properties
Formation energy ... 0.45 eV per atom
Space group ... Pm-3m
Final energy ... -32.19 eV for the cell shown